Entry from the Alexandria database: an optimized crystal structure of Sm4DyIn (PBE).

The structure in CIF format:
```
data_Sm4DyIn
_chemical_formula_sum 'Sm4 Dy1 In1'
_cell_length_a 4.117
_cell_length_b 4.117
_cell_length_c 11.205
_cell_angle_alpha 90.00
_cell_angle_beta 90.00
_cell_angle_gamma 90.00
_symmetry_space_group_name_H-M 'P 4/m m m'
_symmetry_Int_Tables_number 123
_symmetry_space_group_name_Hall '-P 4 2'
loop_
_atom_site_label
_atom_site_type_symbol
_atom_site_fract_x
_atom_site_fract_y
_atom_site_fract_z
Sm1 Sm 0.000 0.000 0.147
Sm2 Sm 0.500 0.500 0.333
Dy1 Dy 0.000 0.000 0.500
In1 In 0.500 0.500 0.000
```

The value obtained for the total moment is 0.0 Bohr magnetons per cell. As for the total energy: -4.439 eV/atom. The polymorph energy (0 for the lowest one) is 0.0000 eV per atom.



Entry from the Alexandria database: an optimized crystal structure of RbBe2F2 (PBE).

The structure in CIF format:
```
data_RbBe2F2
_chemical_formula_sum 'Rb2 Be4 F4'
_cell_length_a 4.167
_cell_length_b 4.167
_cell_length_c 8.493
_cell_angle_alpha 90.00
_cell_angle_beta 90.00
_cell_angle_gamma 90.00
_symmetry_space_group_name_H-M 'I 4/m m m'
_symmetry_Int_Tables_number 139
_symmetry_space_group_name_Hall '-I 4 2'
loop_
_atom_site_label
_atom_site_type_symbol
_atom_site_fract_x
_atom_site_fract_y
_atom_site_fract_z
Rb1 Rb 0.000 0.000 0.000
Be1 Be 0.000 0.000 0.366
F1 F 0.000 0.500 0.250
```

The value obtained for the total moment is 0.0 Bohr magnetons per cell. The raw formation energy comes out at -0.714 eV/atom. As for the total energy: -3.146 eV/atom. The polymorph energy (0 for the lowest one) is 0.4576 eV per atom.



Question: polymorph energy (0 for the lowest one) of number 2 (RbBe2F2)?
Answer: 0.4576 eV per atom



Question: The lowest polymorph energy (0 for the lowest one) belongs to which entry?
Answer: Sm4DyIn